## w
A relaxed ZnAs2P crystal. Source: the Alexandria database, functional PBE.

Structure (POSCAR):
```
ZnAs2P
1.0
-2.265 2.265 3.410
2.265 -2.265 3.410
2.265 2.265 -3.410
Zn As P
1 2 1
Direct
0.000 0.000 0.000
0.250 0.750 0.500
0.500 0.500 0.000
0.750 0.250 0.500
```

Space-group type: No. 119

***

## x
A relaxed ZnAs2P crystal. Source: the Alexandria database, functional PBE.

Structure (POSCAR):
```
ZnAs2P
1.0
0.000 3.267 3.267
3.267 0.000 3.267
3.267 3.267 0.000
Zn As P
1 2 1
Direct
0.000 0.000 0.000
0.250 0.250 0.250
0.750 0.750 0.750
0.500 0.500 0.500
```

Space-group type: No. 225

***

w is the most stable structure; the next one sits 15 meV/atom above it.

***

## w
A relaxed ZnAs2P crystal. Source: the Alexandria database, functional PBE.

Structure (POSCAR):
```
ZnAs2P
1.0
5.094 -1.697 0.000
5.094 1.697 0.000
-1.931 0.000 5.279
Zn As P
1 2 1
Direct
0.000 0.000 0.000
0.666 0.666 0.705
0.682 0.682 0.277
0.341 0.341 0.699
```

Space-group type: No. 8

***

## x
A relaxed ZnAs2P crystal. Source: the Alexandria database, functional PBE.

Structure (POSCAR):
```
ZnAs2P
1.0
2.896 0.000 0.000
0.000 2.896 0.000
0.000 0.000 8.536
Zn As P
1 2 1
Direct
0.000 0.000 0.000
0.000 0.000 0.574
0.500 0.500 0.231
0.500 0.500 0.785
```

Space-group type: No. 99

***

w is the most stable structure; the next one sits 136 meV/atom above it.

***

## w
A relaxed ZnAs2P crystal. Source: the Alexandria database, functional PBE.

Structure (POSCAR):
```
ZnAs2P
1.0
2.682 0.000 0.000
0.000 3.677 0.000
-0.938 0.000 7.397
Zn As P
1 2 1
Direct
0.000 0.000 0.000
0.090 0.500 0.742
0.910 0.500 0.258
0.000 0.000 0.500
```

Space-group type: No. 10

***

## x
A relaxed ZnAs2P crystal. Source: the Alexandria database, functional PBE.

Structure (POSCAR):
```
ZnAs2P
1.0
4.554 0.000 0.000
0.000 4.554 0.000
0.000 0.000 3.319
Zn As P
1 2 1
Direct
0.000 0.000 0.000
0.000 0.500 0.500
0.500 0.000 0.500
0.500 0.500 0.000
```

Space-group type: No. 123

***

w is the most stable structure; the next one sits 277 meV/atom above it.

***

## w
A relaxed ZnAs2P crystal. Source: the Alexandria database, functional PBE.

Structure (POSCAR):
```
ZnAs2P
1.0
5.621 -1.803 0.000
5.621 1.803 0.000
-1.418 0.000 3.890
Zn As P
1 2 1
Direct
0.000 0.000 0.000
0.180 0.180 0.783
0.820 0.820 0.217
0.500 0.500 0.500
```

Space-group type: No. 12

***

## x
A relaxed ZnAs2P crystal. Source: the Alexandria database, functional PBE.

Structure (POSCAR):
```
ZnAs2P
1.0
3.582 0.000 0.000
0.000 3.582 0.000
0.000 0.000 6.056
Zn As P
1 2 1
Direct
0.000 0.000 0.000
0.000 0.000 0.416
0.500 0.500 0.886
0.500 0.500 0.502
```

Space-group type: No. 99

***

x is the most stable structure; the next one sits 190 meV/atom above it.

***

## w
A relaxed ZnAs2P crystal. Source: the Alexandria database, functional PBE.

Structure (POSCAR):
```
ZnAs2P
1.0
3.332 0.000 0.000
0.000 4.410 0.000
0.000 0.000 4.736
Zn As P
1 2 1
Direct
0.000 0.000 0.000
0.000 0.500 0.500
0.500 0.500 0.000
0.500 0.000 0.500
```

Space-group type: No. 47

***

## x
A relaxed ZnAs2P crystal. Source: the Alexandria database, functional PBE.

Structure (POSCAR):
```
ZnAs2P
1.0
-2.808 2.808 5.885
2.808 -2.808 5.885
2.808 2.808 -5.885
Zn As P
2 4 2
Direct
0.000 0.000 0.000
0.750 0.250 0.500
0.133 0.625 0.008
0.375 0.383 0.508
0.617 0.125 0.992
0.875 0.867 0.492
0.250 0.750 0.500
0.500 0.500 0.000
```

Space-group type: No. 122

***

## y
A relaxed ZnAs2P crystal. Source: the Alexandria database, functional PBE.

Structure (POSCAR):
```
ZnAs2P
1.0
2.889 -4.651 0.000
2.889 4.651 0.000
-0.978 0.000 2.592
Zn As P
1 2 1
Direct
0.000 0.000 0.000
0.000 0.500 0.500
0.500 0.000 0.500
0.500 0.500 0.000
```

Space-group type: No. 12

***

## z
A relaxed ZnAs2P crystal. Source: the Alexandria database, functional PBE.

Structure (POSCAR):
```
ZnAs2P
1.0
1.467 0.847 9.376
-1.467 0.847 9.376
0.000 -1.694 9.376
Zn As P
1 2 1
Direct
0.000 0.000 0.000
0.252 0.252 0.252
0.494 0.494 0.494
0.739 0.739 0.739
```

Space-group type: No. 160

***

x is the most stable structure; the next one sits 320 meV/atom above it.

***

## w
A relaxed ZnAs2P crystal. Source: the Alexandria database, functional PBE.

Structure (POSCAR):
```
ZnAs2P
1.0
4.823 0.000 0.000
0.000 1.406 5.977
0.000 -1.406 5.977
Zn As P
1 2 1
Direct
0.000 0.000 0.000
0.000 0.687 0.687
0.500 0.933 0.933
0.500 0.737 0.737
```

Space-group type: No. 38

***

## x
A relaxed ZnAs2P crystal. Source: the Alexandria database, functional PBE.

Structure (POSCAR):
```
ZnAs2P
1.0
1.693 -2.459 0.000
1.693 2.459 0.000
0.000 0.000 8.473
Zn As P
1 2 1
Direct
0.000 0.000 0.000
0.500 0.500 0.264
0.500 0.500 0.736
0.000 0.000 0.500
```

Space-group type: No. 65

***

## y
A relaxed ZnAs2P crystal. Source: the Alexandria database, functional PBE.

Structure (POSCAR):
```
ZnAs2P
1.0
-1.663 1.677 6.711
1.663 -1.677 6.711
1.663 1.677 -6.711
Zn As P
1 2 1
Direct
0.000 0.000 0.000
0.340 0.840 0.500
0.607 0.607 0.000
0.752 0.252 0.500
```

Space-group type: No. 44

***

## z
A relaxed ZnAs2P crystal. Source: the Alexandria database, functional PBE.

Structure (POSCAR):
```
ZnAs2P
1.0
1.681 -2.485 0.000
1.681 2.485 0.000
0.000 0.000 8.752
Zn As P
1 2 1
Direct
0.000 0.000 0.000
0.000 0.000 0.562
0.500 0.500 0.227
0.500 0.500 0.770
```

Space-group type: No. 35

***

w is the most stable structure; the next one sits 200 meV/atom above it.

***

## w
A relaxed Zr4AsP crystal. Source: the Alexandria database, functional PBE.

Structure (POSCAR):
```
Zr4AsP
1.0
6.350 0.000 0.000
0.000 6.367 0.000
-0.270 0.000 6.389
Zr As P
8 2 2
Direct
0.136 0.146 0.155
0.136 0.354 0.655
0.355 0.639 0.130
0.355 0.861 0.630
0.645 0.139 0.370
0.645 0.361 0.870
0.864 0.646 0.345
0.864 0.854 0.845
0.500 0.000 0.000
0.500 0.500 0.500
0.000 0.000 0.500
0.000 0.500 0.000
```

Space-group type: No. 14

***

## x
A relaxed Zr4AsP crystal. Source: the Alexandria database, functional PBE.

Structure (POSCAR):
```
Zr4AsP
1.0
0.000 3.993 3.993
3.993 0.000 3.993
3.993 3.993 0.000
Zr As P
4 1 1
Direct
0.125 0.125 0.125
0.125 0.125 0.625
0.125 0.625 0.125
0.625 0.125 0.125
0.750 0.750 0.750
0.500 0.500 0.500
```

Space-group type: No. 216

***

w is the most stable structure; the next one sits 942 meV/atom above it.

***

## w
A relaxed Zr2AsP2 crystal. Source: the Alexandria database, functional PBE.

Structure (POSCAR):
```
Zr2AsP2
1.0
7.295 0.000 0.000
0.000 7.295 0.000
0.000 0.000 3.462
Zr As P
4 2 4
Direct
0.162 0.338 0.000
0.338 0.838 0.000
0.662 0.162 0.000
0.838 0.662 0.000
0.000 0.000 0.000
0.500 0.500 0.000
0.130 0.630 0.500
0.370 0.130 0.500
0.630 0.870 0.500
0.870 0.370 0.500
```

Space-group type: No. 127

***

## x
A relaxed Zr2AsP2 crystal. Source: the Alexandria database, functional PBE.

Structure (POSCAR):
```
Zr2AsP2
1.0
-1.776 1.776 7.088
1.776 -1.776 7.088
1.776 1.776 -7.088
Zr As P
2 1 2
Direct
0.109 0.109 0.000
0.891 0.891 0.000
0.500 0.500 0.000
0.250 0.750 0.500
0.750 0.250 0.500
```

Space-group type: No. 139

***

w is the most stable structure; the next one sits 65 meV/atom above it.

***

## w
A relaxed PaAs crystal. Source: the Alexandria database, functional PBE.

Structure (POSCAR):
```
PaAs
1.0
3.758 0.000 0.000
0.000 3.870 0.000
-0.758 0.000 6.365
Pa As
2 2
Direct
0.169 0.250 0.135
0.831 0.750 0.865
0.251 0.750 0.495
0.749 0.250 0.505
```

Space-group type: No. 11

***

## x
A relaxed PaAs crystal. Source: the Alexandria database, functional PBE.

Structure (POSCAR):
```
PaAs
1.0
3.513 0.000 0.000
0.000 3.513 0.000
0.000 0.000 3.513
Pa As
1 1
Direct
0.000 0.000 0.000
0.500 0.500 0.500
```

Space-group type: No. 221

***

x is the most stable structure; the next one sits 721 meV/atom above it.

***

## w
A relaxed Pa3As crystal. Source: the Alexandria database, functional PBE.

Structure (POSCAR):
```
Pa3As
1.0
-1.983 1.983 6.583
1.983 -1.983 6.583
1.983 1.983 -6.583
Pa As
3 1
Direct
0.000 0.000 0.000
0.286 0.286 0.000
0.714 0.714 0.000
0.500 0.500 0.000
```

Space-group type: No. 139

***

## x
A relaxed Pa3As crystal. Source: the Alexandria database, functional PBE.

Structure (POSCAR):
```
Pa3As
1.0
-1.725 4.917 2.728
1.725 -4.917 2.728
1.725 4.917 -2.728
Pa As
3 1
Direct
0.000 0.000 0.000
0.120 0.354 0.766
0.587 0.354 0.234
0.536 0.036 0.500
```

Space-group type: No. 44

***

## y
A relaxed Pa3As crystal. Source: the Alexandria database, functional PBE.

Structure (POSCAR):
```
Pa3As
1.0
4.458 0.000 0.000
0.000 4.458 0.000
0.000 0.000 4.458
Pa As
3 1
Direct
0.000 0.000 0.500
0.000 0.500 0.000
0.500 0.000 0.000
0.500 0.500 0.500
```

Space-group type: No. 221

***

y is the most stable structure; the next one sits 116 meV/atom above it.

***

## w
A relaxed Pa2AsPd crystal. Source: the Alexandria database, functional PBE.

Structure (POSCAR):
```
Pa2AsPd
1.0
4.500 0.000 0.000
0.000 4.500 0.000
0.000 0.000 4.166
Pa As Pd
2 1 1
Direct
0.000 0.500 0.000
0.500 0.000 0.000
0.000 0.000 0.500
0.500 0.500 0.500
```

Space-group type: No. 123

***

## x
A relaxed Pa2AsPd crystal. Source: the Alexandria database, functional PBE.

Structure (POSCAR):
```
Pa2AsPd
1.0
1.942 1.121 7.322
-1.942 1.121 7.322
0.000 -2.243 7.322
Pa As Pd
2 1 1
Direct
0.249 0.249 0.249
0.751 0.751 0.751
0.500 0.500 0.500
0.000 0.000 0.000
```

Space-group type: No. 166

***

x is the most stable structure; the next one sits 79 meV/atom above it.

***

## w
A relaxed PmPaAsSe crystal. Source: the Alexandria database, functional PBE.

Structure (POSCAR):
```
PmPaAsSe
1.0
2.012 1.161 7.361
-2.012 1.161 7.361
0.000 -2.323 7.361
Pm Pa As Se
1 1 1 1
Direct
0.000 0.000 0.000
0.178 0.178 0.178
0.587 0.587 0.587
0.759 0.759 0.759
```

Space-group type: No. 160

***

## x
A relaxed PmPaAsSe crystal. Source: the Alexandria database, functional PBE.

Structure (POSCAR):
```
PmPaAsSe
1.0
0.000 3.579 3.579
3.579 0.000 3.579
3.579 3.579 0.000
Pm Pa As Se
1 1 1 1
Direct
0.000 0.000 0.000
0.500 0.500 0.500
0.750 0.750 0.750
0.250 0.250 0.250
```

Space-group type: No. 216

***

w is the most stable structure; the next one sits 210 meV/atom above it.